(1)
Computed, not measured: a relaxed structure of PRu4Pt at the GGA-PBE level of DFT.

Properties
symmetry	F-43m, No. 216
calculated volume	15.52	A^3/atom
DOS at the Fermi energy	11.32	states/eV/cell
ΔE_f	804	meV per atom
total energy	-7.29	eV per atom

Cell: 5.087 5.087 5.087 Å, 60.00 60.00 60.00°
Element x y z (fractional)
Ru1 0.375 0.876 0.375
Ru2 0.876 0.375 0.375
Ru3 0.375 0.375 0.375
Ru4 0.375 0.375 0.876
Pt1 0.000 0.000 0.000
P1 0.750 0.750 0.750

(2)
Computed, not measured: a relaxed structure of Li2PuHfO6 at the GGA-PBE level of DFT.

Properties
symmetry	P4mm, No. 99
calculated volume	14.19	A^3/atom
DOS at the Fermi energy	2.31	states/eV/cell
raw formation energy	-2580	meV per atom
total energy	-8.37	eV per atom

Cell: 4.114 5.873 5.873 Å, 90.00 90.00 90.00°
Element x y z (fractional)
Li1 0.873 0.500 0.000
Li2 0.873 0.000 0.500
Pu1 0.704 0.000 0.000
Hf1 0.675 0.500 0.500
O1 0.730 0.247 0.753
O2 0.206 0.000 0.000
O3 0.730 0.247 0.247
O4 0.730 0.753 0.753
O5 0.730 0.753 0.247
O6 0.196 0.500 0.500

(3)
Computed, not measured: a relaxed structure of ZnFeAu2 at the GGA-PBE level of DFT.

Properties
symmetry	P4mm, No. 99
calculated volume	15.63	A^3/atom
DOS at the Fermi energy	1.65	states/eV/cell
ΔE_f	5	meV per atom
total energy	-4.07	eV per atom

Cell: 2.836 2.836 7.775 Å, 90.00 90.00 90.00°
Element x y z (fractional)
Fe1 0.000 0.000 0.515
Au1 0.000 0.000 0.981
Au2 0.500 0.500 0.274
Zn1 0.500 0.500 0.730